Record 1
The following is a GGA-PBE calculation of a geometry-optimized Ba5Se3 structure, from the Alexandria database.

The structure in CIF format:
```
data_Ba5Se3
_chemical_formula_sum 'Ba10 Se6'
_cell_length_a 9.5136
_cell_length_b 9.5136
_cell_length_c 7.6857
_cell_angle_alpha 90.00
_cell_angle_beta 90.00
_cell_angle_gamma 120.00
_symmetry_space_group_name_H-M 'P 63/m c m'
_symmetry_Int_Tables_number 193
_symmetry_space_group_name_Hall '-P 6c 2'
loop_
_atom_site_label
_atom_site_type_symbol
_atom_site_fract_x
_atom_site_fract_y
_atom_site_fract_z
_atom_site_occupancy
Ba1 Ba 0.0000 0.2421 0.2500 1
Ba2 Ba 0.3333 0.6667 0.0000 1
Se1 Se 0.0000 0.4002 0.7500 1
```

For the raw total energy, the calculation gives -3.790 eV/atom. The value obtained for the density of states at the Fermi level is 7.67 states/eV/f.u.

=====

Record 2
The following is a GGA-PBE calculation of a geometry-optimized BaSe2 structure, from the Alexandria database.

The structure in CIF format:
```
data_BaSe2
_chemical_formula_sum 'Ba2 Se4'
_cell_length_a 5.6830
_cell_length_b 5.6830
_cell_length_c 6.4253
_cell_angle_alpha 90.00
_cell_angle_beta 90.00
_cell_angle_gamma 120.00
_symmetry_space_group_name_H-M 'P 63/m m c'
_symmetry_Int_Tables_number 194
_symmetry_space_group_name_Hall '-P 6c 2c'
loop_
_atom_site_label
_atom_site_type_symbol
_atom_site_fract_x
_atom_site_fract_y
_atom_site_fract_z
_atom_site_occupancy
Ba1 Ba 0.3333 0.6667 0.2500 1
Se1 Se 0.0000 0.0000 0.0000 1
Se2 Se 0.3333 0.6667 0.7500 1
```

For the raw total energy, the calculation gives -3.967 eV/atom. The value obtained for the density of states at the Fermi level is 4.42 states/eV/f.u.

=====

Record 3
The following is a GGA-PBE calculation of a geometry-optimized Ba4Se structure, from the Alexandria database.

The structure in CIF format:
```
data_Ba4Se
_chemical_formula_sum 'Ba4 Se1'
_cell_length_a 6.558
_cell_length_b 6.558
_cell_length_c 6.558
_cell_angle_alpha 90.00
_cell_angle_beta 90.00
_cell_angle_gamma 90.00
_symmetry_space_group_name_H-M 'P m -3 m'
_symmetry_Int_Tables_number 221
_symmetry_space_group_name_Hall '-P 4 2 3'
loop_
_atom_site_label
_atom_site_type_symbol
_atom_site_fract_x
_atom_site_fract_y
_atom_site_fract_z
_atom_site_occupancy
Ba1 Ba 0.000 0.000 0.000 1
Ba2 Ba 0.000 0.500 0.500 1
Se1 Se 0.500 0.500 0.500 1
```

The offset from the most stable computed form is 0 kJ/mol of formula units. The value obtained for the density of states at the Fermi level is 8.69 states/eV/f.u.

=====

Record 4
The following is a GGA-PBE calculation of a geometry-optimized BaSe3 structure, from the Alexandria database.

The structure in CIF format:
```
data_BaSe3
_chemical_formula_sum 'Ba2 Se6'
_cell_length_a 10.636
_cell_length_b 5.099
_cell_length_c 4.557
_cell_angle_alpha 90.00
_cell_angle_beta 100.47
_cell_angle_gamma 90.00
_symmetry_space_group_name_H-M 'C 1 2/m 1'
_symmetry_Int_Tables_number 12
loop_
_symmetry_equiv_pos_as_xyz
'x,y,z'
'-x,-y,-z'
'-x,y,-z'
'x,-y,z'
'x+1/2,y+1/2,z'
'-x+1/2,-y+1/2,-z'
'-x+1/2,y+1/2,-z'
'x+1/2,-y+1/2,z'
loop_
_atom_site_label
_atom_site_type_symbol
_atom_site_fract_x
_atom_site_fract_y
_atom_site_fract_z
_atom_site_occupancy
Ba1 Ba 0.000 0.000 0.000 1
Se1 Se 0.000 0.500 0.500 1
Se2 Se 0.241 0.500 0.419 1
```

For the raw total energy, the calculation gives -4.100 eV/atom. The value obtained for the density of states at the Fermi level is 0.42 states/eV/f.u.

=====

Record 5
The following is a GGA-PBE calculation of a geometry-optimized BaSe structure, from the Alexandria database.

The structure in CIF format:
```
data_BaSe
_chemical_formula_sum 'Ba6 Se6'
_cell_length_a 5.3385
_cell_length_b 5.3385
_cell_length_c 36.4724
_cell_angle_alpha 90.00
_cell_angle_beta 90.00
_cell_angle_gamma 120.00
_symmetry_space_group_name_H-M 'R -3 m'
_symmetry_Int_Tables_number 166
_symmetry_space_group_name_Hall '-R 3 2"'
loop_
_atom_site_label
_atom_site_type_symbol
_atom_site_fract_x
_atom_site_fract_y
_atom_site_fract_z
_atom_site_occupancy
Ba1 Ba 0.0000 0.0000 0.0888 1
Se1 Se 0.0000 0.0000 0.4217 1
```

For the raw total energy, the calculation gives -4.154 eV/atom. The value obtained for the density of states at the Fermi level is 0.00 states/eV/f.u.

=====

Record 6
The following is a GGA-PBE calculation of a geometry-optimized BaSe structure, from the Alexandria database.

The structure in CIF format:
```
data_BaSe
_chemical_formula_sum 'Ba8 Se8'
_cell_length_a 10.033
_cell_length_b 10.033
_cell_length_c 10.033
_cell_angle_alpha 90.00
_cell_angle_beta 90.00
_cell_angle_gamma 90.00
_symmetry_space_group_name_H-M 'I -4 3 m'
_symmetry_Int_Tables_number 217
_symmetry_space_group_name_Hall 'I -4 2 3'
loop_
_atom_site_label
_atom_site_type_symbol
_atom_site_fract_x
_atom_site_fract_y
_atom_site_fract_z
_atom_site_occupancy
Ba1 Ba 0.159 0.159 0.841 1
Se1 Se 0.160 0.160 0.160 1
```

For the raw total energy, the calculation gives -4.452 eV/atom. The value obtained for the density of states at the Fermi level is 0.00 states/eV/f.u.

=====

Record 7
The following is a GGA-PBE calculation of a geometry-optimized BaSe structure, from the Alexandria database.

The structure in CIF format:
```
data_BaSe
_chemical_formula_sum 'Ba1 Se1'
_cell_length_a 4.5474
_cell_length_b 4.5474
_cell_length_c 4.1543
_cell_angle_alpha 90.00
_cell_angle_beta 90.00
_cell_angle_gamma 120.00
_symmetry_space_group_name_H-M 'P -6 m 2'
_symmetry_Int_Tables_number 187
_symmetry_space_group_name_Hall 'P -6 2'
loop_
_atom_site_label
_atom_site_type_symbol
_atom_site_fract_x
_atom_site_fract_y
_atom_site_fract_z
_atom_site_occupancy
Ba1 Ba 0.0000 0.0000 0.0000 1
Se1 Se 0.3333 0.6667 0.5000 1
```

For the raw total energy, the calculation gives -4.621 eV/atom. The value obtained for the density of states at the Fermi level is 0.00 states/eV/f.u.

=====

Record 8
The following is a GGA-PBE calculation of a geometry-optimized Ba5Se4 structure, from the Alexandria database.

The structure in CIF format:
```
data_Ba5Se4
_chemical_formula_sum 'Ba10 Se8'
_cell_length_a 9.6599
_cell_length_b 9.6599
_cell_length_c 8.0330
_cell_angle_alpha 90.00
_cell_angle_beta 90.00
_cell_angle_gamma 120.00
_symmetry_space_group_name_H-M 'P 63/m c m'
_symmetry_Int_Tables_number 193
_symmetry_space_group_name_Hall '-P 6c 2'
loop_
_atom_site_label
_atom_site_type_symbol
_atom_site_fract_x
_atom_site_fract_y
_atom_site_fract_z
_atom_site_occupancy
Ba1 Ba 0.0000 0.2542 0.2500 1
Ba2 Ba 0.3333 0.6667 0.0000 1
Se1 Se 0.0000 0.0000 0.0000 1
Se2 Se 0.0000 0.4003 0.7500 1
```

The offset from the most stable computed form is 68 kJ/mol of formula units. The value obtained for the density of states at the Fermi level is 6.18 states/eV/f.u.